[1]
Li3AcZn9: optimized geometry, GGA-PBE.

The structure belongs to space group C2/m (No. 12); the cell edges are 4.950, 13.296 and 7.076 Å and the angles 90.00°, 108.99° and 90.00°. The asymmetric unit holds Li at (0.000, 0.000, 0.000), Li at (0.250, 0.250, 0.500), Ac at (0.000, 0.000, 0.500), Zn at (0.000, 0.500, 0.000), Zn at (0.109, 0.381, 0.735) and Zn at (0.160, 0.180, 0.856).

The calculation puts the total magnetization at 0.0 μB per cell. Its uncorrected energy is -1.824 eV/atom.



[2]
Li3AcZn3: optimized geometry, GGA-PBE.

The structure belongs to space group Pm-3n (No. 223); the cell edges are 6.779, 6.779 and 6.779 Å and the angles 90.00°, 90.00° and 90.00°. The asymmetric unit holds Li at (0.000, 0.250, 0.500), Ac at (0.000, 0.000, 0.000) and Zn at (0.000, 0.500, 0.250).

The calculation puts the total magnetization at 0.0 μB per cell. Its uncorrected energy is -1.855 eV/atom.



[3]
LiAc2Zr: optimized geometry, GGA-PBE.

The structure belongs to space group P4/mmm (No. 123); the cell edges are 3.747, 3.747 and 9.429 Å and the angles 90.00°, 90.00° and 90.00°. The asymmetric unit holds Li at (0.000, 0.000, 0.000), Ac at (0.500, 0.500, 0.252) and Zr at (0.000, 0.000, 0.500).

The calculation puts the total magnetization at 0.0 μB per cell. Its uncorrected energy is -4.474 eV/atom.



[4]
LiAc2Zr: optimized geometry, GGA-PBE.

The structure belongs to space group R-3m (No. 166, hexagonal axes); the cell edges are 3.5581, 3.5581 and 36.8972 Å and the angles 90.00°, 90.00° and 120.00°. The asymmetric unit holds Li at (0.0000, 0.0000, 0.0000), Ac at (0.0000, 0.0000, 0.4138) and Zr at (0.0000, 0.0000, 0.5000).

The calculation puts the total magnetization at 0.0 μB per cell. Its uncorrected energy is -4.148 eV/atom.